Record 1
The following is a GGA-PBE calculation of a relaxed structure of Zr4GaPb, from the Alexandria database.

Properties
The total energy is -85.43 eV for the cell shown. For the relative energy among the computed polymorphs, the calculation gives 0.00 eV/f.u. The formation energy comes out at -0.298 eV/atom. The calculation puts the total magnetic moment at 0.0 μB/f.u.

a = 6.850 Å, b = 6.850 Å, c = 5.710 Å
α = 90.00°, β = 90.00°, γ = 90.00°
Atoms (fractional coordinates):
Zr (0.139, 0.337, 0.000)
Zr (0.139, 0.663, 0.500)
Zr (0.337, 0.139, 0.500)
Zr (0.337, 0.861, 0.000)
Zr (0.663, 0.139, 0.000)
Zr (0.663, 0.861, 0.500)
Zr (0.861, 0.337, 0.500)
Zr (0.861, 0.663, 0.000)
Ga (0.000, 0.000, 0.250)
Ga (0.000, 0.000, 0.750)
Pb (0.500, 0.500, 0.250)
Pb (0.500, 0.500, 0.750)


Record 2
The following is a GGA-PBE calculation of a relaxed structure of Zr3GaPb, from the Alexandria database.

Properties
The total energy is -31.38 eV for the cell shown. For the relative energy among the computed polymorphs, the calculation gives 0.00 eV/f.u. The formation energy comes out at 0.199 eV/atom. The calculation puts the total magnetic moment at 0.0 μB/f.u.

a = 5.030 Å, b = 5.030 Å, c = 5.030 Å
α = 90.00°, β = 90.00°, γ = 90.00°
Atoms (fractional coordinates):
Zr (0.000, 0.000, 0.500)
Zr (0.000, 0.500, 0.000)
Zr (0.500, 0.000, 0.000)
Ga (0.000, 0.000, 0.000)
Pb (0.500, 0.500, 0.500)


Record 3
The following is a GGA-PBE calculation of a relaxed structure of Zr2Ga2Pb, from the Alexandria database.

Properties
The total energy is -26.95 eV for the cell shown. For the relative energy among the computed polymorphs, the calculation gives 1.38 eV/f.u. The formation energy comes out at -0.019 eV/atom. The calculation puts the total magnetic moment at 0.0 μB/f.u.

a = 6.602 Å, b = 6.602 Å, c = 6.602 Å
α = 140.10°, β = 140.10°, γ = 57.69°
Atoms (fractional coordinates):
Zr (0.250, 0.750, 0.500)
Zr (0.750, 0.250, 0.500)
Ga (0.105, 0.105, 0.000)
Ga (0.895, 0.895, 0.000)
Pb (0.500, 0.500, 0.000)


Record 4
The following is a GGA-PBE calculation of a relaxed structure of Zr5Ga2Pb, from the Alexandria database.

Properties
The total energy is -111.76 eV for the cell shown. The formation energy comes out at -0.422 eV/atom. The calculation puts the total magnetic moment at 0.0 μB/f.u.

a = 8.204 Å, b = 8.204 Å, c = 8.204 Å
α = 126.68°, β = 126.68°, γ = 78.77°
Atoms (fractional coordinates):
Zr (0.000, 0.000, 0.000)
Zr (0.009, 0.509, 0.815)
Zr (0.194, 0.009, 0.500)
Zr (0.306, 0.806, 0.815)
Zr (0.491, 0.306, 0.500)
Zr (0.500, 0.500, 0.000)
Zr (0.509, 0.694, 0.500)
Zr (0.694, 0.194, 0.185)
Zr (0.806, 0.991, 0.500)
Zr (0.991, 0.491, 0.185)
Ga (0.138, 0.362, 0.500)
Ga (0.362, 0.862, 0.224)
Ga (0.638, 0.138, 0.776)
Ga (0.862, 0.638, 0.500)
Pb (0.250, 0.250, 0.000)
Pb (0.750, 0.750, 0.000)


Record 5
The following is a GGA-PBE calculation of a relaxed structure of Zr8Ga2Pb, from the Alexandria database.

Properties
The total energy is -79.87 eV for the cell shown. The formation energy comes out at -0.156 eV/atom. The calculation puts the total magnetic moment at 0.0 μB/f.u.

a = 7.529 Å, b = 7.529 Å, c = 5.260 Å
α = 100.68°, β = 100.68°, γ = 116.41°
Atoms (fractional coordinates):
Zr (0.079, 0.319, 0.619)
Zr (0.240, 0.760, 0.000)
Zr (0.319, 0.079, 0.619)
Zr (0.415, 0.415, 0.201)
Zr (0.585, 0.585, 0.799)
Zr (0.681, 0.921, 0.381)
Zr (0.760, 0.240, 0.000)
Zr (0.921, 0.681, 0.381)
Ga (0.308, 0.692, 0.500)
Ga (0.692, 0.308, 0.500)
Pb (0.000, 0.000, 0.000)


Record 6
The following is a GGA-PBE calculation of a relaxed structure of ZrGa3Pb, from the Alexandria database.

Properties
The total energy is -19.42 eV for the cell shown. For the relative energy among the computed polymorphs, the calculation gives 0.00 eV/f.u. The formation energy comes out at 0.384 eV/atom. The calculation puts the total magnetic moment at 0.0 μB/f.u.

a = 5.239 Å, b = 5.239 Å, c = 5.239 Å
α = 90.00°, β = 90.00°, γ = 90.00°
Atoms (fractional coordinates):
Zr (0.000, 0.000, 0.000)
Ga (0.000, 0.000, 0.500)
Ga (0.000, 0.500, 0.000)
Ga (0.500, 0.000, 0.000)
Pb (0.500, 0.500, 0.500)


Record 7
The following is a GGA-PBE calculation of a relaxed structure of Zr3GaPb, from the Alexandria database.

Properties
The total energy is -26.97 eV for the cell shown. For the relative energy among the computed polymorphs, the calculation gives 4.41 eV/f.u. The formation energy comes out at 1.081 eV/atom. The calculation puts the total magnetic moment at 0.0 μB/f.u.

a = 5.357 Å, b = 5.357 Å, c = 5.357 Å
α = 90.00°, β = 90.00°, γ = 90.00°
Atoms (fractional coordinates):
Zr (0.000, 0.000, 0.500)
Zr (0.000, 0.500, 0.000)
Zr (0.500, 0.000, 0.000)
Ga (0.500, 0.500, 0.500)
Pb (0.000, 0.000, 0.000)


Record 8
The following is a GGA-PBE calculation of a relaxed structure of Zr2Ga2Pb, from the Alexandria database.

Properties
The total energy is -55.63 eV for the cell shown. For the relative energy among the computed polymorphs, the calculation gives 0.52 eV/f.u. The formation energy comes out at -0.191 eV/atom. The calculation puts the total magnetic moment at 0.0 μB/f.u.

a = 8.068 Å, b = 8.068 Å, c = 3.347 Å
α = 90.00°, β = 90.00°, γ = 90.00°
Atoms (fractional coordinates):
Zr (0.132, 0.368, 0.000)
Zr (0.368, 0.868, 0.000)
Zr (0.632, 0.132, 0.000)
Zr (0.868, 0.632, 0.000)
Ga (0.170, 0.670, 0.500)
Ga (0.330, 0.170, 0.500)
Ga (0.670, 0.830, 0.500)
Ga (0.830, 0.330, 0.500)
Pb (0.000, 0.000, 0.000)
Pb (0.500, 0.500, 0.000)


Record 9
The following is a GGA-PBE calculation of a relaxed structure of ZrGa3Pb, from the Alexandria database.

Properties
The total energy is -16.18 eV for the cell shown. For the relative energy among the computed polymorphs, the calculation gives 3.23 eV/f.u. The formation energy comes out at 1.031 eV/atom. The calculation puts the total magnetic moment at 0.0 μB/f.u.

a = 5.253 Å, b = 5.253 Å, c = 5.253 Å
α = 90.00°, β = 90.00°, γ = 90.00°
Atoms (fractional coordinates):
Zr (0.000, 0.000, 0.000)
Ga (0.000, 0.500, 0.500)
Ga (0.500, 0.000, 0.500)
Ga (0.500, 0.500, 0.000)
Pb (0.500, 0.500, 0.500)


Record 10
The following is a GGA-PBE calculation of a relaxed structure of Zr5GaPb3, from the Alexandria database.

Properties
The total energy is -121.07 eV for the cell shown. The formation energy comes out at -0.404 eV/atom. The calculation puts the total magnetic moment at 0.0 μB/f.u.

a = 8.836 Å, b = 8.836 Å, c = 5.976 Å
α = 90.00°, β = 90.00°, γ = 120.00°
Atoms (fractional coordinates):
Zr (0.000, 0.263, 0.250)
Zr (0.000, 0.737, 0.750)
Zr (0.263, 0.000, 0.250)
Zr (0.263, 0.263, 0.750)
Zr (0.333, 0.667, 0.000)
Zr (0.333, 0.667, 0.500)
Zr (0.667, 0.333, 0.000)
Zr (0.667, 0.333, 0.500)
Zr (0.737, 0.000, 0.750)
Zr (0.737, 0.737, 0.250)
Ga (0.000, 0.000, 0.000)
Ga (0.000, 0.000, 0.500)
Pb (0.000, 0.388, 0.750)
Pb (0.000, 0.612, 0.250)
Pb (0.388, 0.000, 0.750)
Pb (0.388, 0.388, 0.250)
Pb (0.612, 0.000, 0.250)
Pb (0.612, 0.612, 0.750)


Record 11
The following is a GGA-PBE calculation of a relaxed structure of ZrGa2Pb2, from the Alexandria database.

Properties
The total energy is -43.56 eV for the cell shown. The formation energy comes out at 0.048 eV/atom. The calculation puts the total magnetic moment at 0.0 μB/f.u.

a = 7.524 Å, b = 7.524 Å, c = 4.127 Å
α = 90.00°, β = 90.00°, γ = 90.00°
Atoms (fractional coordinates):
Zr (0.000, 0.000, 0.000)
Zr (0.500, 0.500, 0.000)
Ga (0.127, 0.373, 0.000)
Ga (0.373, 0.873, 0.000)
Ga (0.627, 0.127, 0.000)
Ga (0.873, 0.627, 0.000)
Pb (0.175, 0.675, 0.500)
Pb (0.325, 0.175, 0.500)
Pb (0.675, 0.825, 0.500)
Pb (0.825, 0.325, 0.500)


Record 12
The following is a GGA-PBE calculation of a relaxed structure of Zr2Ga2Pb, from the Alexandria database.

Properties
The total energy is -56.66 eV for the cell shown. For the relative energy among the computed polymorphs, the calculation gives 0.00 eV/f.u. The formation energy comes out at -0.294 eV/atom. The calculation puts the total magnetic moment at 0.0 μB/f.u.

a = 7.284 Å, b = 7.284 Å, c = 3.937 Å
α = 90.00°, β = 90.00°, γ = 90.00°
Atoms (fractional coordinates):
Zr (0.179, 0.321, 0.000)
Zr (0.321, 0.821, 0.000)
Zr (0.679, 0.179, 0.000)
Zr (0.821, 0.679, 0.000)
Ga (0.120, 0.620, 0.500)
Ga (0.380, 0.120, 0.500)
Ga (0.620, 0.880, 0.500)
Ga (0.880, 0.380, 0.500)
Pb (0.000, 0.000, 0.500)
Pb (0.500, 0.500, 0.500)


Record 13
The following is a GGA-PBE calculation of a relaxed structure of ZrGa2Pb, from the Alexandria database.

Properties
The total energy is -36.00 eV for the cell shown. The formation energy comes out at 0.078 eV/atom. The calculation puts the total magnetic moment at 0.0 μB/f.u.

a = 6.296 Å, b = 6.296 Å, c = 6.296 Å
α = 102.98°, β = 102.98°, γ = 123.43°
Atoms (fractional coordinates):
Zr (0.000, 0.000, 0.000)
Zr (0.750, 0.250, 0.500)
Ga (0.118, 0.625, 0.993)
Ga (0.375, 0.368, 0.493)
Ga (0.632, 0.125, 0.007)
Ga (0.875, 0.882, 0.507)
Pb (0.250, 0.750, 0.500)
Pb (0.500, 0.500, 0.000)


Record 14
The following is a GGA-PBE calculation of a relaxed structure of Zr4GaPb, from the Alexandria database.

Properties
The total energy is -81.94 eV for the cell shown. For the relative energy among the computed polymorphs, the calculation gives 1.75 eV/f.u. The formation energy comes out at -0.007 eV/atom. The calculation puts the total magnetic moment at 0.0 μB/f.u.

a = 8.055 Å, b = 8.055 Å, c = 6.847 Å
α = 102.02°, β = 102.02°, γ = 40.99°
Atoms (fractional coordinates):
Zr (0.028, 0.815, 0.563)
Zr (0.185, 0.972, 0.937)
Zr (0.192, 0.468, 0.884)
Zr (0.468, 0.192, 0.384)
Zr (0.532, 0.808, 0.616)
Zr (0.808, 0.532, 0.116)
Zr (0.815, 0.028, 0.063)
Zr (0.972, 0.185, 0.437)
Ga (0.000, 0.500, 0.500)
Ga (0.500, 0.000, 0.000)
Pb (0.393, 0.607, 0.250)
Pb (0.607, 0.393, 0.750)


Record 15
The following is a GGA-PBE calculation of a relaxed structure of GaPd3, from the Alexandria database.

Properties
The total energy is -20.36 eV for the cell shown. The formation energy comes out at -0.438 eV/atom. The calculation puts the total magnetic moment at 0.0 μB/f.u.

a = 4.408 Å, b = 4.408 Å, c = 4.408 Å
α = 60.00°, β = 60.00°, γ = 60.00°
Atoms (fractional coordinates):
Ga (0.000, 0.000, 0.000)
Pd (0.250, 0.250, 0.250)
Pd (0.500, 0.500, 0.500)
Pd (0.750, 0.750, 0.750)


Record 16
The following is a GGA-PBE calculation of a relaxed structure of GaPd, from the Alexandria database.

Properties
The total energy is -35.92 eV for the cell shown. The formation energy comes out at -0.381 eV/atom. The calculation puts the total magnetic moment at 0.0 μB/f.u.

a = 5.118 Å, b = 5.118 Å, c = 5.100 Å
α = 90.00°, β = 90.00°, γ = 90.00°
Atoms (fractional coordinates):
Ga (0.200, 0.200, 0.000)
Ga (0.300, 0.700, 0.500)
Ga (0.700, 0.300, 0.500)
Ga (0.800, 0.800, 0.000)
Pd (0.200, 0.200, 0.500)
Pd (0.300, 0.700, 0.000)
Pd (0.700, 0.300, 0.000)
Pd (0.800, 0.800, 0.500)


Record 17
The following is a GGA-PBE calculation of a relaxed structure of Ga8Pd, from the Alexandria database.

Properties
The total energy is -30.04 eV for the cell shown. The formation energy comes out at -0.070 eV/atom. The calculation puts the total magnetic moment at 0.0 μB/f.u.

a = 7.583 Å, b = 7.583 Å, c = 7.583 Å
α = 92.21°, β = 92.21°, γ = 157.33°
Atoms (fractional coordinates):
Ga (0.000, 0.329, 0.329)
Ga (0.000, 0.671, 0.671)
Ga (0.329, 0.000, 0.329)
Ga (0.345, 0.345, 0.690)
Ga (0.345, 0.655, 0.000)
Ga (0.655, 0.345, 0.000)
Ga (0.655, 0.655, 0.310)
Ga (0.671, 0.000, 0.671)
Pd (0.000, 0.000, 0.000)


Record 18
The following is a GGA-PBE calculation of a relaxed structure of Ga3Pd5, from the Alexandria database.

Properties
The total energy is -80.13 eV for the cell shown. The formation energy comes out at -0.628 eV/atom. The calculation puts the total magnetic moment at 0.0 μB/f.u.

a = 5.539 Å, b = 10.744 Å, c = 4.036 Å
α = 90.00°, β = 90.00°, γ = 90.00°
Atoms (fractional coordinates):
Ga (0.000, 0.000, 0.000)
Ga (0.155, 0.354, 0.500)
Ga (0.345, 0.854, 0.500)
Ga (0.500, 0.500, 0.000)
Ga (0.655, 0.146, 0.500)
Ga (0.845, 0.646, 0.500)
Pd (0.000, 0.500, 0.000)
Pd (0.091, 0.768, 0.000)
Pd (0.191, 0.105, 0.500)
Pd (0.309, 0.605, 0.500)
Pd (0.409, 0.268, 0.000)
Pd (0.500, 0.000, 0.000)
Pd (0.591, 0.732, 0.000)
Pd (0.691, 0.395, 0.500)
Pd (0.809, 0.895, 0.500)
Pd (0.909, 0.232, 0.000)


Record 19
The following is a GGA-PBE calculation of a relaxed structure of Ga2Pd3, from the Alexandria database.

Properties
The total energy is -24.45 eV for the cell shown. For the relative energy among the computed polymorphs, the calculation gives 0.08 eV/f.u. The formation energy comes out at -0.563 eV/atom. The calculation puts the total magnetic moment at 0.0 μB/f.u.

a = 4.369 Å, b = 4.369 Å, c = 5.123 Å
α = 103.41°, β = 103.41°, γ = 58.41°
Atoms (fractional coordinates):
Ga (0.135, 0.135, 0.281)
Ga (0.865, 0.865, 0.719)
Pd (0.206, 0.206, 0.812)
Pd (0.500, 0.500, 0.500)
Pd (0.794, 0.794, 0.188)


Record 20
The following is a GGA-PBE calculation of a relaxed structure of GaPd, from the Alexandria database.

Properties
The total energy is -37.20 eV for the cell shown. The formation energy comes out at -0.540 eV/atom. The calculation puts the total magnetic moment at 0.0 μB/f.u.

a = 9.531 Å, b = 9.531 Å, c = 4.288 Å
α = 90.00°, β = 90.00°, γ = 161.62°
Atoms (fractional coordinates):
Ga (0.067, 0.933, 0.750)
Ga (0.172, 0.828, 0.250)
Ga (0.828, 0.172, 0.750)
Ga (0.933, 0.067, 0.250)
Pd (0.306, 0.694, 0.250)
Pd (0.444, 0.556, 0.750)
Pd (0.556, 0.444, 0.250)
Pd (0.694, 0.306, 0.750)